#i
! CaB3Pd (PBE, relaxed); values from VASP
&SYSTEM
  ibrav = 0, nat = 5, ntyp = 3
/
ATOMIC_SPECIES
Ca 40.08 Ca.upf
B 10.81 B.upf
Pd 106.42 Pd.upf
ATOMIC_POSITIONS angstrom
Ca 1.193 -2.141 2.630
B 1.619 -1.290 -0.147
B 0.680 0.643 1.853
B -1.106 -1.493 0.924
Pd 0.000 0.000 0.000
CELL_PARAMETERS angstrom
-2.212 -2.987 1.848
3.238 -2.580 -0.294
1.360 1.285 3.705
! Space group   Pm-3m (221)
! DOS at the Fermi energy   2.6 states/eV per cell
! V   72 Å³ per cell

#ii
! CaB3Pd (PBE, relaxed); values from VASP
&SYSTEM
  ibrav = 0, nat = 5, ntyp = 3
/
ATOMIC_SPECIES
Ca 40.08 Ca.upf
B 10.81 B.upf
Pd 106.42 Pd.upf
ATOMIC_POSITIONS angstrom
Ca 0.000 0.000 0.000
B -1.638 -0.945 1.241
B 1.038 0.682 1.890
B -1.163 1.938 -0.060
Pd -1.763 1.675 3.071
CELL_PARAMETERS angstrom
-2.327 3.877 -0.120
-3.276 -1.890 2.481
2.077 1.363 3.780
! Space group   Pm-3m (221)
! DOS at the Fermi energy   6.3 states/eV per cell
! V   93 Å³ per cell

Energetically preferred structure: #i | next structure: +1.874 eV/atom

#i
! CaBPd2Ru (PBE, relaxed); values from VASP
&SYSTEM
  ibrav = 0, nat = 5, ntyp = 4
/
ATOMIC_SPECIES
Ru 101.07 Ru.upf
Ca 40.08 Ca.upf
B 10.81 B.upf
Pd 106.42 Pd.upf
ATOMIC_POSITIONS angstrom
Ru -1.233 1.601 0.556
Ca -3.391 -0.363 1.422
B 0.000 0.000 0.000
Pd -0.488 -1.013 1.835
Pd -1.671 -0.950 -0.969
CELL_PARAMETERS angstrom
-3.341 -1.900 -1.938
-0.976 -2.027 3.670
-2.466 3.202 1.112
! Space group   P4/mmm (123)
! DOS at the Fermi energy   5.2 states/eV per cell
! V   78 Å³ per cell

#ii
! CaBPd2Ru (PBE, relaxed); values from VASP
&SYSTEM
  ibrav = 0, nat = 5, ntyp = 4
/
ATOMIC_SPECIES
Ru 101.07 Ru.upf
Ca 40.08 Ca.upf
B 10.81 B.upf
Pd 106.42 Pd.upf
ATOMIC_POSITIONS angstrom
Ru -3.554 -0.762 -1.137
Ca -1.860 -1.099 1.193
B 0.000 0.000 0.000
Pd -1.284 1.456 -0.661
Pd -0.410 -1.119 -1.669
CELL_PARAMETERS angstrom
-0.819 -2.237 -3.339
-3.721 -2.198 2.386
-2.568 2.912 -1.321
! Space group   P4/mmm (123)
! DOS at the Fermi energy   4.4 states/eV per cell
! V   83 Å³ per cell

Energetically preferred structure: #i | next structure: +0.644 eV/atom

#i
! CaB2Pt (PBE, relaxed); values from VASP
&SYSTEM
  ibrav = 0, nat = 8, ntyp = 3
/
ATOMIC_SPECIES
Ca 40.08 Ca.upf
B 10.81 B.upf
Pt 195.08 Pt.upf
ATOMIC_POSITIONS angstrom
Ca 2.124 2.124 0.000
Ca 2.124 4.247 3.540
B 4.247 1.062 1.770
B 4.247 3.185 1.770
B 3.185 2.124 5.311
B 5.309 2.123 5.311
Pt 0.000 0.000 0.000
Pt 4.247 2.124 3.540
CELL_PARAMETERS angstrom
4.247 0.000 0.000
0.000 4.247 0.000
2.124 2.124 7.081
! Space group   I4_1/amd (141)
! DOS at the Fermi energy   3.0 states/eV per cell
! V   128 Å³ per cell

#ii
! CaB2Pt (PBE, relaxed); values from VASP
&SYSTEM
  ibrav = 0, nat = 4, ntyp = 3
/
ATOMIC_SPECIES
Ca 40.08 Ca.upf
B 10.81 B.upf
Pt 195.08 Pt.upf
ATOMIC_POSITIONS angstrom
Ca 0.000 0.000 0.000
B 0.127 -2.523 0.214
B 0.381 -7.568 0.643
Pt 0.254 -5.045 0.429
CELL_PARAMETERS angstrom
1.037 -3.508 -1.936
1.661 -3.131 2.139
-2.190 -3.451 0.655
! Space group   Fm-3m (225)
! DOS at the Fermi energy   0.9 states/eV per cell
! V   50 Å³ per cell

Energetically preferred structure: #i | next structure: +0.603 eV/atom

#i
! CaBPt (PBE, relaxed); values from VASP
&SYSTEM
  ibrav = 0, nat = 12, ntyp = 3
/
ATOMIC_SPECIES
Pt 195.08 Pt.upf
B 10.81 B.upf
Ca 40.08 Ca.upf
ATOMIC_POSITIONS angstrom
Pt 3.904 0.685 3.974
Pt 1.301 3.785 6.575
Pt 1.301 5.513 3.059
Pt 3.904 2.414 0.457
B 3.904 1.759 2.324
B 1.301 4.858 1.193
B 1.301 4.440 4.709
B 3.904 1.341 5.840
Ca 3.904 3.859 4.610
Ca 1.301 0.760 5.938
Ca 1.301 2.339 2.422
Ca 3.904 5.439 1.094
CELL_PARAMETERS angstrom
5.206 0.000 0.000
0.000 6.199 0.000
0.000 0.000 7.032
! Space group   Pnma (62)
! DOS at the Fermi energy   4.1 states/eV per cell
! V   227 Å³ per cell

#ii
! CaBPt (PBE, relaxed); values from VASP
&SYSTEM
  ibrav = 0, nat = 3, ntyp = 3
/
ATOMIC_SPECIES
Ca 40.08 Ca.upf
B 10.81 B.upf
Pt 195.08 Pt.upf
ATOMIC_POSITIONS angstrom
Ca -2.677 -0.849 -2.375
B -1.825 -1.188 0.582
Pt -0.196 -0.451 -0.567
CELL_PARAMETERS angstrom
-1.173 -2.707 -3.400
-1.364 -2.430 2.406
-2.161 2.650 -1.365
! Space group   P-6m2 (187)
! DOS at the Fermi energy   2.2 states/eV per cell
! V   53 Å³ per cell

Energetically preferred structure: #ii | next structure: +0.113 eV/atom